1.
Compound: BS3N
Source: Alexandria
Functional: PBEsol
Structure: relaxed

abc: 4.067 4.067 4.067
angles: 90.00 90.00 90.00
Fractional positions:
B1 0.000 0.000 0.000
S1 0.000 0.000 0.500
S2 0.000 0.500 0.000
S3 0.500 0.000 0.000
N1 0.500 0.500 0.500

**Crystal system**: cubic
**Magnetic moment**: 1.6 μB per cell
**Energy**: -20.289 eV per formula unit
**SG**: Pm-3m


2.
Compound: BSeSN2
Source: Alexandria
Functional: PBEsol
Structure: relaxed

abc: 3.500 3.500 6.128
angles: 90.00 90.00 90.00
Fractional positions:
B1 0.000 0.000 0.000
Se1 0.500 0.500 0.500
S1 0.500 0.500 0.000
N1 0.000 0.500 0.500
N2 0.500 0.000 0.500

**Crystal system**: tetragonal
**ΔE to the lowest computed polymorph**: 494.4 meV/atom
**Magnetic moment**: 0.0 μB per cell
**SG**: P4/mmm


3.
Compound: BSeSN2
Source: Alexandria
Functional: PBEsol
Structure: relaxed

abc: 3.252 3.252 6.733
angles: 90.00 90.00 90.00
Fractional positions:
B1 0.000 0.000 0.000
Se1 0.500 0.500 0.000
S1 0.500 0.500 0.500
N1 0.000 0.500 0.500
N2 0.500 0.000 0.500

**Crystal system**: tetragonal
**ΔE to the lowest computed polymorph**: 0.0 meV/atom
**Magnetic moment**: 0.0 μB per cell
**SG**: P4/mmm


4.
Compound: TaBS2N
Source: Alexandria
Functional: PBEsol
Structure: relaxed

abc: 4.633 4.633 2.818
angles: 90.00 90.00 90.00
Fractional positions:
Ta1 0.000 0.000 0.000
B1 0.500 0.500 0.500
S1 0.000 0.500 0.500
S2 0.500 0.000 0.500
N1 0.500 0.500 0.000

**Crystal system**: tetragonal
**Magnetic moment**: 0.0 μB per cell
**Energy**: -35.667 eV per formula unit
**SG**: P4/mmm


5.
Compound: TcBSN2
Source: Alexandria
Functional: PBEsol
Structure: relaxed

abc: 3.152 3.152 6.102
angles: 90.00 90.00 90.00
Fractional positions:
Tc1 0.000 0.000 0.000
B1 0.500 0.500 0.500
S1 0.500 0.500 0.000
N1 0.000 0.500 0.500
N2 0.500 0.000 0.500

**Crystal system**: tetragonal
**Magnetic moment**: 0.7 μB per cell
**Energy**: -34.185 eV per formula unit
**SG**: P4/mmm


6.
Compound: TlBS2N
Source: Alexandria
Functional: PBEsol
Structure: relaxed

abc: 5.910 5.910 2.630
angles: 90.00 90.00 90.00
Fractional positions:
Tl1 0.000 0.000 0.000
B1 0.500 0.500 0.500
S1 0.000 0.500 0.500
S2 0.500 0.000 0.500
N1 0.500 0.500 0.000

**Crystal system**: tetragonal
**Magnetic moment**: 0.0 μB per cell
**Energy**: -25.693 eV per formula unit
**SG**: P4/mmm


7.
Compound: BWSN2
Source: Alexandria
Functional: PBEsol
Structure: relaxed

abc: 3.829 3.829 4.921
angles: 90.00 90.00 90.00
Fractional positions:
B1 0.000 0.000 0.000
W1 0.500 0.500 0.500
S1 0.500 0.500 0.000
N1 0.000 0.500 0.500
N2 0.500 0.000 0.500

**Crystal system**: tetragonal
**Magnetic moment**: 0.0 μB per cell
**Energy**: -37.101 eV per formula unit
**SG**: P4/mmm


8.
Compound: YBSN2
Source: Alexandria
Functional: PBEsol
Structure: relaxed

abc: 4.428 4.428 5.324
angles: 90.00 90.00 90.00
Fractional positions:
Y1 0.000 0.000 0.000
B1 0.500 0.500 0.500
S1 0.000 0.000 0.500
N1 0.000 0.500 0.000
N2 0.500 0.000 0.000

**Crystal system**: tetragonal
**Magnetic moment**: 4.0 μB per cell
**Energy**: -27.015 eV per formula unit
**SG**: P4/mmm


9.
Compound: ScBN2
Source: Alexandria
Functional: PBEsol
Structure: relaxed

abc: 4.494 4.494 4.494
angles: 115.61 115.61 97.79
Fractional positions:
Sc1 0.000 0.000 0.000
Sc2 0.750 0.250 0.500
B1 0.250 0.750 0.500
B2 0.500 0.500 0.000
N1 0.220 0.625 0.095
N2 0.375 0.470 0.595
N3 0.530 0.125 0.905
N4 0.875 0.780 0.405

**Crystal system**: tetragonal
**Magnetic moment**: 0.0 μB per cell
**Energy**: -35.876 eV per formula unit
**SG**: I-42d


10.
Compound: BSe2N
Source: Alexandria
Functional: PBEsol
Structure: relaxed

abc: 6.339 6.339 6.339
angles: 31.33 31.33 31.33
Fractional positions:
B1 0.000 0.000 0.000
Se1 0.402 0.402 0.402
Se2 0.598 0.598 0.598
N1 0.500 0.500 0.500

**Crystal system**: trigonal
**Magnetic moment**: 0.0 μB per cell
**Energy**: -18.762 eV per formula unit
**SG**: R-3m


11.
Compound: BSeN3
Source: Alexandria
Functional: PBEsol
Structure: relaxed

abc: 3.687 3.687 3.687
angles: 90.00 90.00 90.00
Fractional positions:
B1 0.000 0.000 0.000
Se1 0.500 0.500 0.500
N1 0.000 0.500 0.500
N2 0.500 0.000 0.500
N3 0.500 0.500 0.000

**Crystal system**: cubic
**Magnetic moment**: 0.0 μB per cell
**Energy**: -23.370 eV per formula unit
**SG**: Pm-3m


12.
Compound: TaBSeN2
Source: Alexandria
Functional: PBEsol
Structure: relaxed

abc: 3.571 3.571 4.200
angles: 90.00 90.00 90.00
Fractional positions:
Ta1 0.000 0.000 0.000
B1 0.500 0.500 0.500
Se1 0.500 0.500 0.000
N1 0.000 0.500 0.500
N2 0.500 0.000 0.500

**Crystal system**: tetragonal
**ΔE to the lowest computed polymorph**: 156.2 meV/atom
**Magnetic moment**: 0.0 μB per cell
**SG**: P4/mmm


13.
Compound: TaBSeN2
Source: Alexandria
Functional: PBEsol
Structure: relaxed

abc: 3.895 3.895 5.367
angles: 90.00 90.00 90.00
Fractional positions:
Ta1 0.000 0.000 0.000
B1 0.500 0.500 0.500
Se1 0.000 0.000 0.500
N1 0.000 0.500 0.000
N2 0.500 0.000 0.000

**Crystal system**: tetragonal
**ΔE to the lowest computed polymorph**: 0.0 meV/atom
**Magnetic moment**: 0.0 μB per cell
**SG**: P4/mmm


14.
Compound: TcBSeN2
Source: Alexandria
Functional: PBEsol
Structure: relaxed

abc: 3.705 3.705 5.235
angles: 90.00 90.00 90.00
Fractional positions:
Tc1 0.000 0.000 0.000
B1 0.500 0.500 0.500
Se1 0.000 0.000 0.500
N1 0.000 0.500 0.000
N2 0.500 0.000 0.000

**Crystal system**: tetragonal
**Magnetic moment**: 0.0 μB per cell
**Energy**: -33.686 eV per formula unit
**SG**: P4/mmm


15.
Compound: SrBN2
Source: Alexandria
Functional: PBEsol
Structure: relaxed

abc: 5.275 5.275 5.275
angles: 129.22 129.22 74.65
Fractional positions:
Sr1 0.375 0.625 0.750
Sr2 0.625 0.375 0.250
B1 0.125 0.875 0.250
B2 0.875 0.125 0.750
N1 0.000 0.000 0.000
N2 0.000 0.000 0.500
N3 0.000 0.500 0.000
N4 0.500 0.000 0.500

**Crystal system**: tetragonal
**Magnetic moment**: 0.0 μB per cell
**Energy**: -28.374 eV per formula unit
**SG**: I4_1/amd


16.
Compound: SrBN2
Source: Alexandria
Functional: PBEsol
Structure: relaxed

abc: 6.445 6.445 6.445
angles: 25.76 25.76 25.76
Fractional positions:
Sr1 0.000 0.000 0.000
B1 0.500 0.500 0.500
N1 0.125 0.125 0.125
N2 0.875 0.875 0.875

**Crystal system**: trigonal
**Magnetic moment**: 0.8 μB per cell
**Energy**: -20.994 eV per formula unit
**SG**: R-3m


17.
Compound: SrBTeN2
Source: Alexandria
Functional: PBEsol
Structure: relaxed

abc: 4.646 4.646 6.531
angles: 90.00 90.00 90.00
Fractional positions:
Sr1 0.000 0.000 0.000
B1 0.500 0.500 0.500
Te1 0.000 0.000 0.500
N1 0.000 0.500 0.000
N2 0.500 0.000 0.000

**Crystal system**: tetragonal
**Magnetic moment**: 4.4 μB per cell
**Energy**: -18.033 eV per formula unit
**SG**: P4/mmm


18.
Compound: TaBN2
Source: Alexandria
Functional: PBEsol
Structure: relaxed

abc: 5.847 5.847 5.847
angles: 27.58 27.58 27.58
Fractional positions:
Ta1 0.000 0.000 0.000
B1 0.500 0.500 0.500
N1 0.118 0.118 0.118
N2 0.882 0.882 0.882

**Crystal system**: trigonal
**Magnetic moment**: 0.0 μB per cell
**Energy**: -34.285 eV per formula unit
**SG**: R-3m


19.
Compound: Tc3BN
Source: Alexandria
Functional: PBEsol
Structure: relaxed

abc: 3.988 3.988 3.988
angles: 90.00 90.00 90.00
Fractional positions:
Tc1 0.000 0.000 0.500
Tc2 0.000 0.500 0.000
Tc3 0.500 0.000 0.000
B1 0.000 0.000 0.000
N1 0.500 0.500 0.500

**Crystal system**: cubic
**Magnetic moment**: 0.0 μB per cell
**Energy**: -42.479 eV per formula unit
**SG**: Pm-3m


20.
Compound: TlTc2BN
Source: Alexandria
Functional: PBEsol
Structure: relaxed

abc: 4.620 4.620 2.997
angles: 90.00 90.00 90.00
Fractional positions:
Tl1 0.000 0.000 0.000
Tc1 0.000 0.500 0.500
Tc2 0.500 0.000 0.500
B1 0.500 0.500 0.500
N1 0.500 0.500 0.000

**Crystal system**: tetragonal
**Magnetic moment**: 0.5 μB per cell
**Energy**: -35.647 eV per formula unit
**SG**: P4/mmm


21.
Compound: BTeN2
Source: Alexandria
Functional: PBEsol
Structure: relaxed

abc: 3.851 3.851 3.851
angles: 60.00 60.00 60.00
Fractional positions:
B1 0.000 0.000 0.000
Te1 0.500 0.500 0.500
N1 0.250 0.250 0.250
N2 0.750 0.750 0.750

**Crystal system**: cubic
**Magnetic moment**: 0.0 μB per cell
**Energy**: -19.447 eV per formula unit
**SG**: Fm-3m


22.
Compound: BTe2N2
Source: Alexandria
Functional: PBEsol
Structure: relaxed

abc: 3.937 3.937 4.508
angles: 90.00 90.00 90.00
Fractional positions:
B1 0.000 0.000 0.000
Te1 0.000 0.000 0.500
Te2 0.500 0.500 0.500
N1 0.000 0.500 0.000
N2 0.500 0.000 0.000

**Crystal system**: tetragonal
**Magnetic moment**: 1.0 μB per cell
**Energy**: -22.373 eV per formula unit
**SG**: P4/mmm


23.
Compound: BTeN3
Source: Alexandria
Functional: PBEsol
Structure: relaxed

abc: 3.508 3.508 3.508
angles: 90.00 90.00 90.00
Fractional positions:
B1 0.000 0.000 0.000
Te1 0.500 0.500 0.500
N1 0.000 0.000 0.500
N2 0.000 0.500 0.000
N3 0.500 0.000 0.000

**Crystal system**: cubic
**Magnetic moment**: 0.0 μB per cell
**Energy**: -29.722 eV per formula unit
**SG**: Pm-3m


24.
Compound: BTeN3
Source: Alexandria
Functional: PBEsol
Structure: relaxed

abc: 3.945 3.945 3.945
angles: 90.00 90.00 90.00
Fractional positions:
B1 0.000 0.000 0.000
Te1 0.500 0.500 0.500
N1 0.000 0.500 0.500
N2 0.500 0.000 0.500
N3 0.500 0.500 0.000

**Crystal system**: cubic
**Magnetic moment**: 0.0 μB per cell
**Energy**: -23.808 eV per formula unit
**SG**: Pm-3m


25.
Compound: UBN
Source: Alexandria
Functional: PBEsol
Structure: relaxed

abc: 6.117 6.117 3.215
angles: 90.00 90.00 146.41
Fractional positions:
U1 0.137 0.863 0.750
U2 0.863 0.137 0.250
B1 0.466 0.534 0.750
B2 0.534 0.466 0.250
N1 0.337 0.663 0.750
N2 0.663 0.337 0.250

**Crystal system**: orthorhombic
**Magnetic moment**: 0.0 μB per cell
**Energy**: -31.248 eV per formula unit
**SG**: Cmcm


26.
Compound: BW3N
Source: Alexandria
Functional: PBEsol
Structure: relaxed

abc: 3.989 3.989 3.989
angles: 90.00 90.00 90.00
Fractional positions:
B1 0.000 0.000 0.000
W1 0.000 0.500 0.500
W2 0.500 0.000 0.500
W3 0.500 0.500 0.000
N1 0.500 0.500 0.500

**Crystal system**: cubic
**ΔE to the lowest computed polymorph**: 0.0 meV/atom
**Magnetic moment**: 0.0 μB per cell
**SG**: Pm-3m


27.
Compound: Y2BN
Source: Alexandria
Functional: PBEsol
Structure: relaxed

abc: 4.382 4.382 4.382
angles: 60.00 60.00 60.00
Fractional positions:
Y1 0.250 0.250 0.250
Y2 0.750 0.750 0.750
B1 0.000 0.000 0.000
N1 0.500 0.500 0.500

**Crystal system**: cubic
**Magnetic moment**: 0.4 μB per cell
**Energy**: -29.248 eV per formula unit
**SG**: Fm-3m


28.
Compound: ZrBN3
Source: Alexandria
Functional: PBEsol
Structure: relaxed

abc: 4.212 4.212 4.212
angles: 90.00 90.00 90.00
Fractional positions:
Zr1 0.000 0.000 0.000
B1 0.500 0.500 0.500
N1 0.000 0.000 0.500
N2 0.000 0.500 0.000
N3 0.500 0.000 0.000

**Crystal system**: cubic
**Magnetic moment**: 3.4 μB per cell
**Energy**: -32.936 eV per formula unit
**SG**: Pm-3m


29.
Compound: ZrBN2
Source: Alexandria
Functional: PBEsol
Structure: relaxed

abc: 4.523 4.523 4.523
angles: 113.48 113.48 101.72
Fractional positions:
Zr1 0.000 0.000 0.000
Zr2 0.750 0.250 0.500
B1 0.250 0.750 0.500
B2 0.500 0.500 0.000
N1 0.234 0.625 0.109
N2 0.375 0.484 0.609
N3 0.516 0.125 0.891
N4 0.875 0.766 0.391

**Crystal system**: tetragonal
**Magnetic moment**: 0.0 μB per cell
**Energy**: -37.307 eV per formula unit
**SG**: I-42d